# GGA-PBEsol Li5CuP2O8, relaxed
data_Li5CuP2O8
_cell_length_a 6.097
_cell_length_b 4.981
_cell_length_c 10.594
_cell_angle_alpha 90.00
_cell_angle_beta 90.50
_cell_angle_gamma 90.00
_space_group_name_H-M_alt 'P 1 c 1'
_space_group_IT_number 7
loop_
_space_group_symop_operation_xyz
'x,y,z'
'x,-y,z+1/2'
loop_
_atom_site_label
_atom_site_type_symbol
_atom_site_fract_x
_atom_site_fract_y
_atom_site_fract_z
Li1 Li 0.000 0.044 0.000
Li2 Li 0.248 0.052 0.240
Li3 Li 0.254 0.441 0.911
Li4 Li 0.500 0.447 0.152
Li5 Li 0.752 0.047 0.240
Cu1 Cu 0.743 0.448 0.903
P1 P 0.006 0.447 0.664
P2 P 0.496 0.059 0.490
O1 O 0.001 0.135 0.664
O2 O 0.013 0.443 0.027
O3 O 0.211 0.452 0.237
O4 O 0.291 0.043 0.916
O5 O 0.490 0.371 0.494
O6 O 0.498 0.050 0.126
O7 O 0.707 0.030 0.919
O8 O 0.794 0.443 0.227
# - Crystal system: monoclinic
# - Raw total energy: -205.552 eV/cell
# - Volume: 160.9 Å³/f.u.